(1)
VASP calculation (PBEsol) on a relaxed structure of Sr4Y2GaCu5Pb4O16.

The structure in POSCAR format:
```
Sr4Y2GaCu5Pb4O16
1.0
5.383 0.000 0.000
0.000 5.418 0.016
-2.692 -2.479 15.534
Sr Y Ga Cu Pb O
4 2 1 5 4 16
Cartesian
2.692 2.953 12.145
0.000 0.240 12.138
2.692 2.699 3.420
0.000 -0.015 3.406
0.000 0.231 15.499
2.692 2.940 15.506
0.000 2.702 1.810
2.692 2.847 7.765
0.000 0.079 7.757
2.692 0.237 13.949
0.000 2.946 13.994
2.692 -0.004 1.627
0.000 2.860 9.492
2.692 0.170 9.504
0.000 2.774 6.046
2.692 0.066 6.050
0.000 2.963 11.620
2.692 0.255 11.645
0.000 2.686 3.769
2.692 -0.013 3.890
-1.344 1.592 14.119
1.345 -1.120 14.108
4.067 4.029 1.468
1.317 1.382 1.455
4.066 1.382 1.455
1.316 4.029 1.468
-1.345 -1.120 14.108
1.344 1.592 14.119
2.692 3.171 9.569
0.000 0.462 9.551
2.692 2.530 5.953
0.000 -0.291 5.948
```

Summary:
density of states at the Fermi level: 3.43 states/eV per cell
space group: Cm
V: 14.2 A^3/atom
formation energy without anion corrections: -58.03 eV/f.u.
uncorrected energy: -204.03 eV per cell

=====

(2)
VASP calculation (PBEsol) on a relaxed structure of Sr2PrGaCu2O7.

The structure in POSCAR format:
```
Sr2PrGaCu2O7
1.0
-3.701 1.472 3.641
0.871 -4.683 2.779
9.579 6.802 2.988
Sr Pr Ga Cu O
4 2 2 4 14
Cartesian
6.100 1.353 5.648
0.655 2.236 3.754
3.845 4.267 6.176
2.910 -0.678 3.226
-1.856 0.738 1.826
0.430 -2.339 1.395
2.862 0.612 6.371
4.156 2.873 2.772
5.489 2.793 8.468
1.243 0.805 0.956
6.903 4.408 5.253
-0.170 -0.810 4.172
1.703 4.063 5.004
4.198 -0.135 5.238
7.735 5.287 3.746
0.846 -2.424 3.860
5.885 6.022 5.567
-1.005 -1.687 5.679
6.366 3.692 6.984
-1.473 0.637 4.250
8.213 2.975 5.152
0.381 -0.117 2.440
5.210 3.184 4.241
1.324 0.493 5.379
3.714 2.014 7.193
2.820 1.663 2.427
```

Summary:
density of states at the Fermi level: 3.34 states/eV per cell
space group: Ima2
V: 13.2 A^3/atom
formation energy without anion corrections: -27.57 eV/f.u.
uncorrected energy: -170.38 eV per cell

=====

(3)
VASP calculation (PBEsol) on a relaxed structure of GaCu2ReO.

The structure in POSCAR format:
```
GaCu2ReO
1.0
4.559 0.000 0.000
0.000 4.559 0.000
0.000 0.000 4.866
O Re Cu Ga
1 1 2 1
Cartesian
2.279 2.279 2.433
0.000 0.000 0.000
0.000 2.279 0.000
2.279 0.000 0.000
0.000 0.000 2.433
```

Summary:
density of states at the Fermi level: 4.37 states/eV per cell
space group: P4/mmm
V: 20.2 A^3/atom
formation energy without anion corrections: 8.76 eV/f.u.
uncorrected energy: -21.83 eV per cell

=====

(4)
VASP calculation (PBEsol) on a relaxed structure of Ga2CuSe3O10.

The structure in POSCAR format:
```
Ga2CuSe3O10
1.0
6.647 0.000 0.000
0.000 9.681 0.000
0.000 0.000 13.082
Ga Cu Se O
8 4 12 40
Cartesian
4.985 2.123 3.271
4.985 7.558 9.812
1.662 7.558 9.812
1.662 2.123 3.271
3.323 0.071 1.612
3.323 9.610 11.470
0.000 0.071 4.929
0.000 9.610 8.153
4.985 6.382 3.271
4.985 3.299 9.812
1.662 3.299 9.812
1.662 6.382 3.271
3.323 4.353 4.998
3.323 5.328 8.084
0.000 4.353 1.543
0.000 5.328 11.539
3.323 8.941 4.776
3.323 0.740 8.306
0.000 8.941 1.765
0.000 0.740 11.317
3.323 6.696 0.390
3.323 2.985 12.692
0.000 6.696 6.151
0.000 2.985 6.931
3.323 1.647 2.634
3.323 8.034 10.448
0.000 1.647 3.907
0.000 8.034 9.176
4.675 3.348 4.704
4.675 6.333 8.378
5.295 3.348 1.837
5.295 6.333 11.245
1.972 6.333 8.378
1.972 3.348 4.704
1.352 6.333 11.245
1.352 3.348 1.837
3.323 5.361 3.551
3.323 4.320 9.531
0.000 5.361 2.990
0.000 4.320 10.092
3.323 8.413 3.114
3.323 1.267 9.968
0.000 8.413 3.427
0.000 1.267 9.655
4.637 0.384 4.801
4.637 9.297 8.281
5.333 0.384 1.740
5.333 9.297 11.343
2.009 9.297 8.281
2.009 0.384 4.801
1.314 9.297 11.343
1.314 0.384 1.740
4.715 6.508 1.376
4.715 3.173 11.706
5.255 6.508 5.165
5.255 3.173 7.917
1.931 3.173 11.706
1.931 6.508 1.376
1.392 3.173 7.917
1.392 6.508 5.165
3.323 8.474 0.191
3.323 1.207 12.891
0.000 8.474 6.350
0.000 1.207 6.732
```

Summary:
density of states at the Fermi level: 4.35 states/eV per cell
space group: Pmna
V: 13.2 A^3/atom
formation energy without anion corrections: -17.24 eV/f.u.
uncorrected energy: -369.21 eV per cell

=====

(5)
VASP calculation (PBEsol) on a relaxed structure of Sr2TbGaCu2O7.

The structure in POSCAR format:
```
Sr2TbGaCu2O7
1.0
-0.621 0.650 5.263
-1.912 -5.074 0.401
11.871 -1.648 -1.104
Sr Tb Ga Cu O
4 2 2 4 14
Cartesian
7.382 -2.774 1.215
1.956 -3.298 3.347
6.173 -4.833 4.034
3.165 -1.239 0.528
-1.265 -2.213 2.822
-0.620 0.648 5.253
5.100 -1.227 3.678
4.189 -4.793 1.303
8.770 -2.977 4.097
0.571 -3.098 0.437
8.122 -5.846 1.667
1.219 -0.229 2.867
3.886 -4.783 3.183
5.584 -1.427 0.261
9.565 -1.939 2.704
-0.533 -3.813 4.452
9.878 -2.256 0.072
-0.226 -4.145 1.821
8.965 -4.799 0.294
0.684 -1.598 1.630
8.646 -4.496 2.927
0.382 -1.252 4.259
6.021 -4.848 1.171
3.349 -1.257 3.121
6.508 -2.407 3.636
2.862 -3.698 0.657
```

Summary:
density of states at the Fermi level: 3.28 states/eV per cell
space group: Ima2
V: 12.7 A^3/atom
formation energy without anion corrections: -28.17 eV/f.u.
uncorrected energy: -171.22 eV per cell

=====

(6)
VASP calculation (PBEsol) on a relaxed structure of Sr2TmGaCu2O7.

The structure in POSCAR format:
```
Sr2TmGaCu2O7
1.0
5.312 0.000 0.000
0.000 5.403 0.000
-2.656 -2.702 11.396
Sr Tm Ga Cu O
4 2 2 4 14
Cartesian
0.048 0.076 7.980
2.703 2.626 3.416
2.703 2.626 7.980
0.048 0.076 3.416
0.040 0.000 0.000
2.696 2.702 0.000
0.268 3.075 5.698
2.924 -0.373 5.698
2.693 -0.003 9.798
0.038 2.705 1.598
0.038 2.705 9.798
2.693 -0.003 1.598
2.160 3.294 5.698
-0.496 -0.592 5.698
2.576 0.212 7.406
-0.080 2.490 3.990
-0.080 2.490 7.406
2.576 0.212 3.990
-1.272 1.331 10.019
1.383 1.370 1.376
1.383 1.370 10.019
4.039 1.331 1.376
1.350 -1.336 9.976
4.006 4.038 1.419
-1.306 -1.365 9.976
1.350 4.067 1.419
```

Summary:
density of states at the Fermi level: 3.23 states/eV per cell
space group: Ima2
V: 12.6 A^3/atom
formation energy without anion corrections: -28.31 eV/f.u.
uncorrected energy: -171.28 eV per cell

=====

(7)
VASP calculation (PBEsol) on a relaxed structure of VGaCu2O4.

The structure in POSCAR format:
```
VGaCu2O4
1.0
-0.707 -1.566 -2.355
-1.982 -3.750 3.089
-4.439 3.807 -1.200
V Ga Cu O
1 1 2 4
Cartesian
-2.573 1.120 -1.777
-3.211 0.028 0.945
0.000 0.000 0.000
-1.345 -2.658 0.367
-2.989 -1.834 0.313
-4.139 0.325 -0.778
-1.648 0.797 -0.036
-4.774 -0.741 1.925
```

Summary:
density of states at the Fermi level: 3.73 states/eV per cell
space group: P2/m
V: 10.9 A^3/atom
formation energy without anion corrections: -11.50 eV/f.u.
uncorrected energy: -54.14 eV per cell

=====

(8)
VASP calculation (PBEsol) on a relaxed structure of GaCuP2S.

The structure in POSCAR format:
```
GaCuP2S
1.0
4.433 0.000 0.000
0.000 4.433 0.000
0.000 0.000 4.606
P S Cu Ga
2 1 1 1
Cartesian
0.000 2.217 0.000
2.217 0.000 0.000
0.000 0.000 2.303
0.000 0.000 0.000
2.217 2.217 2.303
```

Summary:
density of states at the Fermi level: 5.17 states/eV per cell
space group: P4/mmm
V: 18.1 A^3/atom
formation energy without anion corrections: 3.42 eV/f.u.
uncorrected energy: -20.22 eV per cell

=====

(9)
VASP calculation (PBEsol) on a relaxed structure of Ga3CuPb.

The structure in POSCAR format:
```
Ga3CuPb
1.0
5.324 0.000 0.000
0.000 5.324 0.000
0.000 0.000 5.324
Pb Cu Ga
1 1 3
Cartesian
0.000 0.000 0.000
2.662 2.662 2.662
0.000 2.662 0.000
0.000 0.000 2.662
2.662 0.000 0.000
```

Summary:
density of states at the Fermi level: 2.86 states/eV per cell
space group: Pm-3m
formation enthalpy at 0 K: 1101 meV/atom
V: 30.2 A^3/atom
uncorrected energy: -12.85 eV per cell

=====

(10)
VASP calculation (PBEsol) on a relaxed structure of Ga2Cu2Pd.

The structure in POSCAR format:
```
Ga2Cu2Pd
1.0
-2.760 -1.580 0.944
1.112 -0.074 3.125
-2.009 6.457 -0.894
Cu Ga Pd
2 2 1
Cartesian
-0.861 2.778 2.133
-2.797 2.025 1.043
-2.258 4.486 0.909
-1.400 0.316 2.267
0.000 0.000 0.000
```

Summary:
density of states at the Fermi level: 1.44 states/eV per cell
space group: I4/mmm
formation enthalpy at 0 K: -151 meV/atom
V: 14.1 A^3/atom
uncorrected energy: -22.06 eV per cell

=====

(11)
VASP calculation (PBEsol) on a relaxed structure of Ga2CuPd.

The structure in POSCAR format:
```
Ga2CuPd
1.0
-2.894 2.373 2.072
-3.766 0.865 -1.835
-3.575 -1.811 1.497
Cu Ga Pd
1 2 1
Cartesian
0.000 0.000 0.000
-2.559 0.357 0.433
-7.676 1.071 1.300
-5.118 0.714 0.867
```

Summary:
density of states at the Fermi level: 0.76 states/eV per cell
space group: Fm-3m
formation enthalpy at 0 K: -319 meV/atom
V: 13.8 A^3/atom
uncorrected energy: -18.25 eV per cell

=====

(12)
VASP calculation (PBEsol) on a relaxed structure of GaCuPd3.

The structure in POSCAR format:
```
GaCuPd3
1.0
4.489 0.000 0.000
0.000 4.489 0.000
0.000 0.000 4.489
Cu Ga Pd
1 1 3
Cartesian
0.000 0.000 0.000
2.245 2.245 2.245
0.000 2.245 0.000
0.000 0.000 2.245
2.245 0.000 0.000
```

Summary:
density of states at the Fermi level: 3.87 states/eV per cell
space group: Pm-3m
formation enthalpy at 0 K: 640 meV/atom
V: 18.1 A^3/atom
uncorrected energy: -22.35 eV per cell

=====

(13)
VASP calculation (PBEsol) on a relaxed structure of GaCuSnPd2.

The structure in POSCAR format:
```
GaCuSnPd2
1.0
-0.911 -0.325 -4.597
-2.294 -4.286 0.758
-4.246 2.392 0.672
Ga Cu Sn Pd
1 1 1 2
Cartesian
-3.726 -1.110 -1.583
-0.455 -0.163 -2.298
0.000 0.000 0.000
-2.123 1.196 0.336
-1.147 -2.143 0.379
```

Summary:
density of states at the Fermi level: 2.98 states/eV per cell
space group: P4/mmm
formation enthalpy at 0 K: 676 meV/atom
V: 22.7 A^3/atom
uncorrected energy: -20.47 eV per cell

=====

(14)
VASP calculation (PBEsol) on a relaxed structure of GaCu2Pt2.

The structure in POSCAR format:
```
GaCu2Pt2
1.0
3.669 0.000 0.000
0.000 3.669 0.000
-1.834 -1.834 5.834
Cu Ga Pt
2 1 2
Cartesian
0.000 0.000 4.693
1.834 1.834 1.140
0.000 0.000 0.000
0.000 1.834 2.917
1.834 0.000 2.917
```

Summary:
density of states at the Fermi level: 3.05 states/eV per cell
space group: I4/mmm
formation enthalpy at 0 K: 208 meV/atom
V: 15.7 A^3/atom
uncorrected energy: -24.90 eV per cell

=====

(15)
VASP calculation (PBEsol) on a relaxed structure of Ga3CuPt.

The structure in POSCAR format:
```
Ga3CuPt
1.0
4.751 0.000 0.000
0.000 4.751 0.000
0.000 0.000 4.751
Cu Ga Pt
1 3 1
Cartesian
2.376 2.376 2.376
0.000 2.376 0.000
0.000 0.000 2.376
2.376 0.000 0.000
0.000 0.000 0.000
```

Summary:
density of states at the Fermi level: 1.40 states/eV per cell
space group: Pm-3m
formation enthalpy at 0 K: 175 meV/atom
V: 21.5 A^3/atom
uncorrected energy: -20.44 eV per cell

=====

(16)
VASP calculation (PBEsol) on a relaxed structure of YGa2CuPt.

The structure in POSCAR format:
```
YGa2CuPt
1.0
4.685 0.000 0.000
0.000 4.685 0.000
0.000 0.000 5.386
Y Cu Ga Pt
1 1 2 1
Cartesian
0.000 0.000 2.693
2.342 2.342 2.693
0.000 2.342 0.000
2.342 0.000 0.000
0.000 0.000 0.000
```

Summary:
density of states at the Fermi level: 2.62 states/eV per cell
space group: P4/mmm
formation enthalpy at 0 K: -53 meV/atom
V: 23.6 A^3/atom
uncorrected energy: -25.07 eV per cell

=====

(17)
VASP calculation (PBEsol) on a relaxed structure of ZrGaCu2Pt.

The structure in POSCAR format:
```
ZrGaCu2Pt
1.0
4.855 0.000 0.000
0.000 4.855 0.000
0.000 0.000 4.907
Ga Cu Zr Pt
1 2 1 1
Cartesian
2.427 2.427 2.454
0.000 2.427 0.000
2.427 0.000 0.000
0.000 0.000 0.000
0.000 0.000 2.454
```

Summary:
density of states at the Fermi level: 2.22 states/eV per cell
space group: P4/mmm
formation enthalpy at 0 K: 1112 meV/atom
V: 23.1 A^3/atom
uncorrected energy: -22.50 eV per cell

=====

(18)
VASP calculation (PBEsol) on a relaxed structure of RbGa3Cu.

The structure in POSCAR format:
```
RbGa3Cu
1.0
5.696 0.000 0.000
0.000 5.696 0.000
0.000 0.000 5.696
Cu Ga Rb
1 3 1
Cartesian
2.848 2.848 2.848
0.000 2.848 0.000
0.000 0.000 2.848
2.848 0.000 0.000
0.000 0.000 0.000
```

Summary:
density of states at the Fermi level: 5.62 states/eV per cell
space group: Pm-3m
formation enthalpy at 0 K: 1678 meV/atom
V: 37.0 A^3/atom
uncorrected energy: -6.99 eV per cell

=====

(19)
VASP calculation (PBEsol) on a relaxed structure of RbGa2Cu2.

The structure in POSCAR format:
```
RbGa2Cu2
1.0
4.307 0.000 0.000
0.000 4.307 0.000
-2.153 -2.153 6.104
Cu Ga Rb
2 2 1
Cartesian
0.000 0.000 4.152
2.153 2.153 1.952
0.000 2.153 3.052
2.153 0.000 3.052
0.000 0.000 0.000
```

Summary:
density of states at the Fermi level: 2.81 states/eV per cell
space group: I4/mmm
formation enthalpy at 0 K: 168 meV/atom
V: 22.6 A^3/atom
uncorrected energy: -15.53 eV per cell

=====

(20)
VASP calculation (PBEsol) on a relaxed structure of GaCu2TcS.

The structure in POSCAR format:
```
GaCu2TcS
1.0
-2.845 0.901 3.445
-2.458 -3.687 -1.066
2.697 -2.641 2.918
S Cu Tc Ga
1 2 1 1
Cartesian
-1.303 -2.714 2.649
-1.229 -1.844 -0.533
-1.423 0.450 1.722
0.000 0.000 0.000
1.348 -1.321 1.459
```

Summary:
density of states at the Fermi level: 6.14 states/eV per cell
space group: P4/mmm
V: 19.8 A^3/atom
formation energy without anion corrections: 6.84 eV/f.u.
uncorrected energy: -20.82 eV per cell